Fe2SiIr | PBE | optimized geometry

a = 2.840 Å, b = 4.437 Å, c = 8.119 Å
α = 90.00°, β = 90.00°, γ = 90.00°
Space group Cmmm (No. 65)
Symmetry-distinct sites (fractional):
Fe: 0.000 0.000 0.232 x4
Si: 0.000 0.500 0.000 x2
Ir: 0.000 0.500 0.500 x2

Summary:
* ρ: 10.78 g cm⁻³
* DFT total energy: -7.76 eV/atom
* crystal system: orthorhombic
* spin magnetization: 5.09 μB per formula unit

FeSiIr2 | PBE | optimized geometry

a = 2.815 Å, b = 4.446 Å, c = 8.748 Å
α = 90.00°, β = 90.00°, γ = 90.00°
Space group Immm (No. 71)
Symmetry-distinct sites (fractional):
Fe: 0.000 0.000 0.000 x2
Si: 0.000 0.000 0.500 x2
Ir: 0.000 0.500 0.220 x4

Summary:
* ρ: 14.21 g cm⁻³
* DFT total energy: -8.11 eV/atom
* crystal system: orthorhombic
* spin magnetization: 2.58 μB per formula unit

Fe2SiIr | PBE | optimized geometry

a = 8.544 Å, b = 2.809 Å, c = 4.373 Å
α = 90.00°, β = 107.80°, γ = 90.00°
Space group Cm (No. 8)
Symmetry-distinct sites (fractional):
Fe: 0.000 0.000 0.000 x2
Fe: 0.247 0.500 0.151 x2
Si: 0.265 0.000 0.678 x2
Ir: 0.020 0.500 0.512 x2

Summary:
* ρ: 11.03 g cm⁻³
* DFT total energy: -8.04 eV/atom
* crystal system: monoclinic
* spin magnetization: 4.54 μB per formula unit

Fe2SiIr | PBE | optimized geometry

a = 2.879 Å, b = 4.087 Å, c = 4.225 Å
α = 90.00°, β = 90.00°, γ = 90.00°
Space group Pmmm (No. 47)
Symmetry-distinct sites (fractional):
Fe: 0.000 0.000 0.000 x1
Fe: 0.500 0.500 0.000 x1
Si: 0.000 0.500 0.500 x1
Ir: 0.500 0.000 0.500 x1

Summary:
* ρ: 11.09 g cm⁻³
* DFT total energy: -8.07 eV/atom
* crystal system: orthorhombic
* spin magnetization: 4.67 μB per formula unit